First-principles (GGA-PBE) data for a relaxed structure of Mn3NiPt3, as listed in Alexandria via LeMat-Bulk.

a = 6.1950 Å, b = 6.1950 Å, c = 5.6820 Å
α = 90.02°, β = 90.02°, γ = 90.37°
Element x y z (fractional)
Mn 0.1687 0.8313 0.0000
Mn 0.2388 0.2388 0.4989
Mn 0.2524 0.7476 0.5000
Mn 0.7476 0.2524 0.5000
Mn 0.7612 0.7612 0.5011
Mn 0.8313 0.1687 0.0000
Ni 0.2308 0.2308 0.0010
Ni 0.7692 0.7692 0.9990
Pt 0.9995 0.5005 0.2428
Pt 0.0005 0.4995 0.7572
Pt 0.5005 0.9995 0.2428
Pt 0.4995 0.0005 0.7572
Pt 0.5003 0.5003 0.2373
Pt 0.4997 0.4997 0.7627

**Calculated volume**: 218.1 Å³/cell
**N(E_F)**: 4.19 states/eV/f.u.
**Space-group type**: C2/m (12)
**ρ**: 12.3 g/cm³
**Formation energy**: -0.1081 eV/atom

First-principles (GGA-PBE) data for a relaxed structure of Mn2Ni2Pt7, as listed in Alexandria via LeMat-Bulk.

a = 6.9311 Å, b = 6.9311 Å, c = 6.9311 Å
α = 145.22°, β = 72.23°, γ = 118.93°
Element x y z (fractional)
Mn 0.1956 0.0000 0.1956
Mn 0.8044 0.0000 0.8044
Ni 0.5022 0.0022 0.5000
Ni 0.8104 0.8104 0.0000
Pt 0.0682 0.7221 0.3462
Pt 0.1884 0.1884 0.0000
Pt 0.3673 0.5091 0.8582
Pt 0.3759 0.7221 0.6538
Pt 0.6390 0.2860 0.3530
Pt 0.6508 0.5091 0.1418
Pt 0.9329 0.2860 0.6470

**Calculated volume**: 163.4 Å³/cell
**N(E_F)**: 15.27 states/eV/f.u.
**Space-group type**: Imm2 (44)
**ρ**: 16.2 g/cm³
**Formation energy**: -0.1148 eV/atom

First-principles (GGA-PBE) data for a relaxed structure of MnNiPt5, as listed in Alexandria via LeMat-Bulk.

a = 6.9692 Å, b = 7.0196 Å, c = 6.8520 Å
α = 90.00°, β = 90.00°, γ = 90.00°
Element x y z (fractional)
Mn 0.0000 0.0000 0.0000
Mn 0.5000 0.5000 0.5000
Ni 0.0000 0.5000 0.5295
Ni 0.5000 0.0000 0.0295
Pt 0.0000 0.0000 0.6398
Pt 0.0000 0.3131 0.8369
Pt 0.0000 0.6869 0.8369
Pt 0.1827 0.0000 0.3082
Pt 0.3173 0.5000 0.8082
Pt 0.5000 0.1869 0.3369
Pt 0.5000 0.5000 0.1398
Pt 0.5000 0.8131 0.3369
Pt 0.6827 0.5000 0.8082
Pt 0.8173 0.0000 0.3082

**Calculated volume**: 335.2 Å³/cell
**N(E_F)**: 11.53 states/eV/f.u.
**Space-group type**: Imm2 (44)
**ρ**: 10.8 g/cm³
**Polymorph energy (0 for the lowest one)**: 967 meV per atom
**Formation energy**: 0.8557 eV/atom

First-principles (GGA-PBE) data for a relaxed structure of MnNi5Pt6, as listed in Alexandria via LeMat-Bulk.

a = 6.0778 Å, b = 6.0778 Å, c = 7.3564 Å
α = 90.00°, β = 90.00°, γ = 143.00°
Element x y z (fractional)
Mn 0.0000 0.0000 0.0000
Ni 0.0000 0.0000 0.5000
Ni 0.3340 0.6660 0.0000
Ni 0.3360 0.6640 0.5000
Ni 0.6640 0.3360 0.5000
Ni 0.6660 0.3340 0.0000
Pt 0.1675 0.8325 0.2510
Pt 0.1675 0.8325 0.7490
Pt 0.5000 0.5000 0.2516
Pt 0.5000 0.5000 0.7484
Pt 0.8325 0.1675 0.2510
Pt 0.8325 0.1675 0.7490

**Calculated volume**: 163.5 Å³/cell
**N(E_F)**: 18.03 states/eV/f.u.
**Space-group type**: Cmmm (65)
**ρ**: 15.4 g/cm³
**Polymorph energy (0 for the lowest one)**: 0 meV per atom
**Formation energy**: -0.1676 eV/atom

First-principles (GGA-PBE) data for a relaxed structure of MnNiPt2, as listed in Alexandria via LeMat-Bulk.

a = 3.7968 Å, b = 3.7968 Å, c = 7.7895 Å
α = 90.00°, β = 90.00°, γ = 90.00°
Element x y z (fractional)
Mn 0.0000 0.0000 0.0000
Mn 0.5000 0.5000 0.5000
Ni 0.0000 0.5000 0.2500
Ni 0.5000 0.0000 0.7500
Pt 0.0000 0.0000 0.5000
Pt 0.0000 0.5000 0.7500
Pt 0.5000 0.0000 0.2500
Pt 0.5000 0.5000 0.0000

**Calculated volume**: 112.3 Å³/cell
**N(E_F)**: 6.55 states/eV/f.u.
**Space-group type**: I-4m2 (119)
**ρ**: 14.9 g/cm³
**Formation energy**: -0.2350 eV/atom

First-principles (GGA-PBE) data for a relaxed structure of MnNiPt2, as listed in Alexandria via LeMat-Bulk.

a = 6.1362 Å, b = 6.1362 Å, c = 6.1362 Å
α = 90.00°, β = 90.00°, γ = 90.00°
Element x y z (fractional)
Mn 0.0000 0.0000 0.0000
Mn 0.0000 0.5000 0.5000
Mn 0.5000 0.0000 0.5000
Mn 0.5000 0.5000 0.0000
Ni 0.2500 0.2500 0.2500
Ni 0.2500 0.7500 0.7500
Ni 0.7500 0.2500 0.7500
Ni 0.7500 0.7500 0.2500
Pt 0.0000 0.0000 0.5000
Pt 0.0000 0.5000 0.0000
Pt 0.2500 0.2500 0.7500
Pt 0.2500 0.7500 0.2500
Pt 0.5000 0.0000 0.0000
Pt 0.5000 0.5000 0.5000
Pt 0.7500 0.2500 0.2500
Pt 0.7500 0.7500 0.7500

**Calculated volume**: 231.0 Å³/cell
**N(E_F)**: 5.39 states/eV/f.u.
**Space-group type**: F-43m (216)
**ρ**: 14.5 g/cm³
**Formation energy**: -0.0772 eV/atom

First-principles (GGA-PBE) data for a relaxed structure of Mn4NiPt3, as listed in Alexandria via LeMat-Bulk.

a = 14.2828 Å, b = 4.1312 Å, c = 4.1312 Å
α = 90.00°, β = 106.73°, γ = 90.00°
Element x y z (fractional)
Mn 0.1213 0.0000 0.1214
Mn 0.1213 0.5000 0.6211
Mn 0.3787 0.0000 0.3789
Mn 0.3787 0.5000 0.8786
Mn 0.6213 0.0000 0.6211
Mn 0.6213 0.5000 0.1214
Mn 0.8787 0.0000 0.8786
Mn 0.8787 0.5000 0.3789
Ni 0.0000 0.0000 0.5000
Ni 0.5000 0.5000 0.5000
Pt 0.0000 0.5000 0.0000
Pt 0.2490 0.0000 0.7491
Pt 0.2510 0.5000 0.2509
Pt 0.5000 0.0000 0.0000
Pt 0.7490 0.5000 0.7491
Pt 0.7510 0.0000 0.2509

**Calculated volume**: 233.4 Å³/cell
**N(E_F)**: 2.84 states/eV/f.u.
**Space-group type**: C2/m (12)
**ρ**: 12.3 g/cm³
**Formation energy**: -0.2707 eV/atom

First-principles (GGA-PBE) data for a relaxed structure of MnNiPt4, as listed in Alexandria via LeMat-Bulk.

a = 5.2091 Å, b = 5.2091 Å, c = 5.2091 Å
α = 60.00°, β = 60.00°, γ = 60.00°
Element x y z (fractional)
Mn 0.0000 0.0000 0.0000
Ni 0.7500 0.7500 0.7500
Pt 0.3752 0.3752 0.3752
Pt 0.3752 0.3752 0.8743
Pt 0.3752 0.8743 0.3752
Pt 0.8743 0.3752 0.3752

**Calculated volume**: 99.9 Å³/cell
**N(E_F)**: 5.60 states/eV/f.u.
**Space-group type**: F-43m (216)
**ρ**: 14.9 g/cm³
**Polymorph energy (0 for the lowest one)**: 206 meV per atom
**Formation energy**: 0.1160 eV/atom

First-principles (GGA-PBE) data for a relaxed structure of Mn2NiPt2, as listed in Alexandria via LeMat-Bulk.

a = 7.2957 Å, b = 7.2957 Å, c = 2.8835 Å
α = 90.00°, β = 90.00°, γ = 90.00°
Element x y z (fractional)
Mn 0.1617 0.3383 0.0000
Mn 0.3383 0.8383 0.0000
Mn 0.6617 0.1617 0.0000
Mn 0.8383 0.6617 0.0000
Ni 0.0000 0.0000 0.5000
Ni 0.5000 0.5000 0.5000
Pt 0.1381 0.6381 0.5000
Pt 0.3619 0.1381 0.5000
Pt 0.6381 0.8619 0.5000
Pt 0.8619 0.3619 0.5000

**Calculated volume**: 153.5 Å³/cell
**N(E_F)**: 4.26 states/eV/f.u.
**Space-group type**: P4/mbm (127)
**ρ**: 12.1 g/cm³
**Polymorph energy (0 for the lowest one)**: 208 meV per atom
**Formation energy**: -0.0145 eV/atom

First-principles (GGA-PBE) data for a relaxed structure of MnNi2Pt2, as listed in Alexandria via LeMat-Bulk.

a = 3.3626 Å, b = 3.3626 Å, c = 12.9918 Å
α = 90.00°, β = 90.00°, γ = 90.00°
Element x y z (fractional)
Mn 0.0000 0.0000 0.0000
Mn 0.5000 0.5000 0.5000
Ni 0.0000 0.5000 0.2500
Ni 0.0000 0.5000 0.7500
Ni 0.5000 0.0000 0.2500
Ni 0.5000 0.0000 0.7500
Pt 0.0000 0.0000 0.3975
Pt 0.0000 0.0000 0.6026
Pt 0.5000 0.5000 0.1026
Pt 0.5000 0.5000 0.8974

**Calculated volume**: 146.9 Å³/cell
**N(E_F)**: 5.87 states/eV/f.u.
**Space-group type**: I4/mmm (139)
**ρ**: 12.7 g/cm³
**Polymorph energy (0 for the lowest one)**: 0 meV per atom
**Formation energy**: 0.0454 eV/atom

First-principles (GGA-PBE) data for a relaxed structure of Mn2NiPt5, as listed in Alexandria via LeMat-Bulk.

a = 5.5046 Å, b = 10.9955 Å, c = 3.8687 Å
α = 90.00°, β = 90.00°, γ = 90.00°
Element x y z (fractional)
Mn 0.2462 0.1243 0.0000
Mn 0.2538 0.6243 0.0000
Mn 0.7462 0.3757 0.0000
Mn 0.7538 0.8757 0.0000
Ni 0.0000 0.5000 0.5000
Ni 0.5000 0.0000 0.5000
Pt 0.0000 0.0000 0.5000
Pt 0.0098 0.7461 0.5000
Pt 0.2382 0.3802 0.0000
Pt 0.2618 0.8802 0.0000
Pt 0.4902 0.2461 0.5000
Pt 0.5000 0.5000 0.5000
Pt 0.5098 0.7539 0.5000
Pt 0.7382 0.1198 0.0000
Pt 0.7618 0.6198 0.0000
Pt 0.9902 0.2539 0.5000

**Calculated volume**: 234.2 Å³/cell
**N(E_F)**: 8.94 states/eV/f.u.
**Space-group type**: Pbam (55)
**ρ**: 16.2 g/cm³
**Formation energy**: -0.3359 eV/atom

First-principles (GGA-PBE) data for a relaxed structure of Mn2Ni3Pt3, as listed in Alexandria via LeMat-Bulk.

a = 3.7175 Å, b = 3.7951 Å, c = 7.5800 Å
α = 90.00°, β = 90.00°, γ = 90.00°
Element x y z (fractional)
Mn 0.0000 0.0000 0.2411
Mn 0.0000 0.0000 0.7589
Ni 0.0000 0.5000 0.0000
Ni 0.0000 0.5000 0.5000
Ni 0.5000 0.0000 0.0000
Pt 0.5000 0.0000 0.5000
Pt 0.5000 0.5000 0.2402
Pt 0.5000 0.5000 0.7598

**Calculated volume**: 106.9 Å³/cell
**N(E_F)**: 7.82 states/eV/f.u.
**Space-group type**: Pmmm (47)
**ρ**: 13.5 g/cm³
**Formation energy**: -0.2690 eV/atom

First-principles (GGA-PBE) data for a relaxed structure of MnNi5Pt4, as listed in Alexandria via LeMat-Bulk.

a = 6.8486 Å, b = 6.8486 Å, c = 7.3966 Å
α = 121.90°, β = 121.90°, γ = 31.08°
Element x y z (fractional)
Mn 0.0000 0.0000 0.0000
Ni 0.0000 0.0000 0.5000
Ni 0.3263 0.3263 0.8348
Ni 0.3313 0.3313 0.3266
Ni 0.6687 0.6687 0.6734
Ni 0.6737 0.6737 0.1652
Pt 0.1634 0.1634 0.4134
Pt 0.4832 0.4832 0.2333
Pt 0.5168 0.5168 0.7667
Pt 0.8366 0.8366 0.5866

**Calculated volume**: 149.8 Å³/cell
**N(E_F)**: 17.50 states/eV/f.u.
**Space-group type**: C2/m (12)
**ρ**: 12.5 g/cm³
**Formation energy**: 0.1584 eV/atom

First-principles (GGA-PBE) data for a relaxed structure of MnNi2Pt5, as listed in Alexandria via LeMat-Bulk.

a = 7.1137 Å, b = 7.1137 Å, c = 7.1137 Å
α = 124.80°, β = 124.80°, γ = 81.88°
Element x y z (fractional)
Mn 0.2500 0.2500 0.0000
Mn 0.7500 0.7500 0.0000
Ni 0.1402 0.6402 0.7803
Ni 0.3598 0.1402 0.5000
Ni 0.6402 0.8598 0.5000
Ni 0.8598 0.3598 0.2197
Pt 0.0000 0.0000 0.0000
Pt 0.0055 0.8092 0.5000
Pt 0.1908 0.6908 0.1963
Pt 0.3092 0.5055 0.5000
Pt 0.4945 0.9945 0.8037
Pt 0.5000 0.5000 0.0000
Pt 0.5055 0.0055 0.1963
Pt 0.6908 0.4945 0.5000
Pt 0.8092 0.3092 0.8037
Pt 0.9945 0.1908 0.5000

**Calculated volume**: 233.5 Å³/cell
**N(E_F)**: 10.77 states/eV/f.u.
**Space-group type**: I4/mcm (140)
**ρ**: 16.3 g/cm³
**Polymorph energy (0 for the lowest one)**: 142 meV per atom
**Formation energy**: -0.0466 eV/atom

First-principles (GGA-PBE) data for a relaxed structure of Mn2Ni8Pt, as listed in Alexandria via LeMat-Bulk.

a = 6.7008 Å, b = 6.7008 Å, c = 6.7008 Å
α = 146.19°, β = 125.53°, γ = 65.67°
Element x y z (fractional)
Mn 0.1975 0.1975 0.0000
Mn 0.8025 0.8025 0.0000
Ni 0.0575 0.3493 0.7082
Ni 0.2043 0.0000 0.2043
Ni 0.3432 0.8432 0.5000
Ni 0.3589 0.6507 0.7082
Ni 0.6411 0.3493 0.2918
Ni 0.6568 0.1568 0.5000
Ni 0.7957 0.0000 0.7957
Ni 0.9425 0.6507 0.2918
Pt 0.5000 0.5000 0.0000

**Calculated volume**: 134.6 Å³/cell
**N(E_F)**: 18.29 states/eV/f.u.
**Space-group type**: Immm (71)
**ρ**: 9.6 g/cm³
**Formation energy**: 0.0714 eV/atom

First-principles (GGA-PBE) data for a relaxed structure of Mn3NiPt12, as listed in Alexandria via LeMat-Bulk.

a = 3.9137 Å, b = 3.9137 Å, c = 15.7506 Å
α = 90.00°, β = 90.00°, γ = 90.00°
Element x y z (fractional)
Mn 0.0000 0.0000 0.0000
Mn 0.0000 0.0000 0.2519
Mn 0.0000 0.0000 0.7481
Ni 0.0000 0.0000 0.5000
Pt 0.0000 0.5000 0.1258
Pt 0.0000 0.5000 0.3768
Pt 0.0000 0.5000 0.6232
Pt 0.0000 0.5000 0.8742
Pt 0.5000 0.0000 0.1258
Pt 0.5000 0.0000 0.3768
Pt 0.5000 0.0000 0.6232
Pt 0.5000 0.0000 0.8742
Pt 0.5000 0.5000 0.0000
Pt 0.5000 0.5000 0.2515
Pt 0.5000 0.5000 0.5000
Pt 0.5000 0.5000 0.7485

**Calculated volume**: 241.2 Å³/cell
**N(E_F)**: 17.70 states/eV/f.u.
**Space-group type**: P4/mmm (123)
**ρ**: 17.7 g/cm³
**Formation energy**: -0.2874 eV/atom

First-principles (GGA-PBE) data for a relaxed structure of Mn4Ni9Pt11, as listed in Alexandria via LeMat-Bulk.

a = 11.0357 Å, b = 11.0357 Å, c = 2.7242 Å
α = 90.00°, β = 90.00°, γ = 94.57°
Element x y z (fractional)
Mn 0.0514 0.2233 0.0000
Mn 0.2233 0.0514 0.0000
Mn 0.7767 0.9486 0.0000
Mn 0.9486 0.7767 0.0000
Ni 0.0000 0.0000 0.0000
Ni 0.1197 0.6365 0.0000
Ni 0.2951 0.4703 0.0000
Ni 0.3635 0.8803 0.0000
Ni 0.4703 0.2951 0.0000
Ni 0.5297 0.7049 0.0000
Ni 0.6365 0.1197 0.0000
Ni 0.7049 0.5297 0.0000
Ni 0.8803 0.3635 0.0000
Pt 0.0908 0.4274 0.5000
Pt 0.1477 0.8523 0.5000
Pt 0.2610 0.2610 0.5000
Pt 0.3238 0.6762 0.5000
Pt 0.4274 0.0908 0.5000
Pt 0.5000 0.5000 0.5000
Pt 0.5726 0.9092 0.5000
Pt 0.6762 0.3238 0.5000
Pt 0.7390 0.7390 0.5000
Pt 0.8523 0.1477 0.5000
Pt 0.9092 0.5726 0.5000

**Calculated volume**: 330.7 Å³/cell
**N(E_F)**: 34.46 states/eV/f.u.
**Space-group type**: Cmmm (65)
**ρ**: 14.5 g/cm³
**Formation energy**: -0.1296 eV/atom

First-principles (GGA-PBE) data for a relaxed structure of Mn2NiPt2, as listed in Alexandria via LeMat-Bulk.

a = 8.6025 Å, b = 3.7743 Å, c = 5.9667 Å
α = 90.00°, β = 133.01°, γ = 90.00°
Element x y z (fractional)
Mn 0.0868 0.0000 0.2965
Mn 0.4132 0.5000 0.7035
Mn 0.5868 0.5000 0.2965
Mn 0.9132 0.0000 0.7035
Ni 0.0000 0.5000 0.5000
Ni 0.5000 0.0000 0.5000
Pt 0.2045 0.5000 0.1169
Pt 0.2955 0.0000 0.8831
Pt 0.7045 0.0000 0.1169
Pt 0.7955 0.5000 0.8831

**Calculated volume**: 141.7 Å³/cell
**N(E_F)**: 5.29 states/eV/f.u.
**Space-group type**: C2/m (12)
**ρ**: 13.1 g/cm³
**Polymorph energy (0 for the lowest one)**: 0 meV per atom
**Formation energy**: -0.2223 eV/atom

First-principles (GGA-PBE) data for a relaxed structure of MnNi5Pt2, as listed in Alexandria via LeMat-Bulk.

a = 5.2318 Å, b = 10.4829 Å, c = 3.6457 Å
α = 90.00°, β = 90.00°, γ = 90.00°
Element x y z (fractional)
Mn 0.0000 0.0000 0.0000
Mn 0.5000 0.5000 0.0000
Ni 0.0000 0.5000 0.0000
Ni 0.0024 0.2486 0.0000
Ni 0.2456 0.6262 0.5000
Ni 0.2544 0.1262 0.5000
Ni 0.4976 0.7486 0.0000
Ni 0.5000 0.0000 0.0000
Ni 0.5024 0.2514 0.0000
Ni 0.7456 0.8738 0.5000
Ni 0.7544 0.3738 0.5000
Ni 0.9976 0.7514 0.0000
Pt 0.2493 0.3735 0.5000
Pt 0.2507 0.8735 0.5000
Pt 0.7493 0.1265 0.5000
Pt 0.7507 0.6265 0.5000

**Calculated volume**: 199.9 Å³/cell
**N(E_F)**: 11.80 states/eV/f.u.
**Space-group type**: Pbam (55)
**ρ**: 12.3 g/cm³
**Formation energy**: -0.1383 eV/atom

First-principles (GGA-PBE) data for a relaxed structure of MnNi23Pt6, as listed in Alexandria via LeMat-Bulk.

a = 8.0392 Å, b = 8.0392 Å, c = 8.0392 Å
α = 60.00°, β = 60.00°, γ = 60.00°
Element x y z (fractional)
Mn 0.0000 0.0000 0.0000
Ni 0.0000 0.0000 0.5000
Ni 0.0000 0.5000 0.0000
Ni 0.0000 0.5000 0.5000
Ni 0.1296 0.6235 0.6235
Ni 0.1619 0.1619 0.1619
Ni 0.1619 0.1619 0.5143
Ni 0.1619 0.5143 0.1619
Ni 0.3765 0.3765 0.3765
Ni 0.3765 0.3765 0.8704
Ni 0.3765 0.8704 0.3765
Ni 0.4857 0.8381 0.8381
Ni 0.5000 0.0000 0.0000
Ni 0.5000 0.0000 0.5000
Ni 0.5000 0.5000 0.0000
Ni 0.5000 0.5000 0.5000
Ni 0.5143 0.1619 0.1619
Ni 0.6235 0.1296 0.6235
Ni 0.6235 0.6235 0.1296
Ni 0.6235 0.6235 0.6235
Ni 0.8381 0.4857 0.8381
Ni 0.8381 0.8381 0.4857
Ni 0.8381 0.8381 0.8381
Ni 0.8704 0.3765 0.3765
Pt 0.2308 0.2308 0.7692
Pt 0.2308 0.7692 0.2308
Pt 0.2308 0.7692 0.7692
Pt 0.7692 0.2308 0.2308
Pt 0.7692 0.2308 0.7692
Pt 0.7692 0.7692 0.2308

**Calculated volume**: 367.4 Å³/cell
**N(E_F)**: 45.48 states/eV/f.u.
**Space-group type**: Fm-3m (225)
**ρ**: 11.6 g/cm³
**Formation energy**: 0.0374 eV/atom